# AgOsAu2 (PBE-GGA, optimized geometry)
# formation energy from the elements = 0.749 eV per atom
# ΔE to the lowest computed polymorph = 390 meV/atom
# N(E_F) = 0.74 states/eV/atom
# volume = 17.2 Å³/atom
# E_tot = -4.4095 eV per atom
data_AgOsAu2
_symmetry_space_group_name_H-M 'F -4 3 m'
_symmetry_Int_Tables_number 216
_symmetry_space_group_name_Hall 'F -4 2 3'
_cell_length_a 6.504
_cell_length_b 6.504
_cell_length_c 6.504
_cell_angle_alpha 90.00
_cell_angle_beta 90.00
_cell_angle_gamma 90.00
loop_
_atom_site_label
_atom_site_fract_x
_atom_site_fract_y
_atom_site_fract_z
_atom_site_occupancy
Ag1 0.000 0.000 0.000 1
Os1 0.250 0.250 0.750 1
Au1 0.000 0.000 0.500 1
Au2 0.250 0.250 0.250 1